one) ## Li8CuHg2 (GGA-PBE)

Data for a relaxed structure of Li8CuHg2.

Output
Crystal system: orthorhombic
Magnetic moment, Bohr magnetons per cell: 0.00

a = 7.8824 Å, b = 7.8824 Å, c = 7.8824 Å
α = 145.42°, β = 135.00°, γ = 57.96°
Fractional positions:
Li: 0.1282 0.3611 0.7671
Li: 0.1766 0.1766 0.0000
Li: 0.2590 0.0000 0.2590
Li: 0.4061 0.6389 0.7671
Li: 0.5939 0.3611 0.2329
Li: 0.7410 0.0000 0.7410
Li: 0.8234 0.8234 0.0000
Li: 0.8718 0.6389 0.2329
Cu: 0.0000 0.5000 0.5000
Hg: 0.3119 0.8119 0.5000
Hg: 0.6881 0.1881 0.5000

two) ## Li8CuHg2 (GGA-PBE)

Data for a relaxed structure of Li8CuHg2.

Output
Crystal system: monoclinic
Magnetic moment, Bohr magnetons per cell: 0.00

a = 7.5318 Å, b = 7.5318 Å, c = 6.0862 Å
α = 103.73°, β = 103.73°, γ = 34.27°
Fractional positions:
Li: 0.0289 0.0289 0.2481
Li: 0.1543 0.1543 0.6795
Li: 0.3338 0.3338 0.5948
Li: 0.4000 0.4000 0.0703
Li: 0.6000 0.6000 0.9297
Li: 0.6662 0.6662 0.4052
Li: 0.8457 0.8457 0.3205
Li: 0.9711 0.9711 0.7519
Cu: 0.5000 0.5000 0.5000
Hg: 0.2088 0.2088 0.1556
Hg: 0.7912 0.7912 0.8444

Name the least stable of them. one).

one) ## Li2CuHg2 (GGA-PBE)

Data for a relaxed structure of Li2CuHg2.

Output
Crystal system: tetragonal
Magnetic moment, Bohr magnetons per cell: 0.00

a = 7.5018 Å, b = 7.5018 Å, c = 7.5018 Å
α = 152.26°, β = 152.26°, γ = 39.63°
Fractional positions:
Li: 0.2500 0.7500 0.5000
Li: 0.7500 0.2500 0.5000
Cu: 0.0000 0.0000 0.0000
Hg: 0.3954 0.3954 0.0000
Hg: 0.6046 0.6046 0.0000

two) ## Li2CuHg2 (GGA-PBE)

Data for a relaxed structure of Li2CuHg2.

Output
Crystal system: tetragonal
Magnetic moment, Bohr magnetons per cell: 0.00

a = 7.0964 Å, b = 7.0964 Å, c = 3.7156 Å
α = 90.00°, β = 90.00°, γ = 90.00°
Fractional positions:
Li: 0.1581 0.3419 0.0000
Li: 0.3419 0.8419 0.0000
Li: 0.6581 0.1581 0.0000
Li: 0.8419 0.6581 0.0000
Cu: 0.0000 0.0000 0.5000
Cu: 0.5000 0.5000 0.5000
Hg: 0.1491 0.6491 0.5000
Hg: 0.3509 0.1491 0.5000
Hg: 0.6491 0.8509 0.5000
Hg: 0.8509 0.3509 0.5000

Name the least stable of them. one).

one) ## Lu2CuHg (GGA-PBE)

Data for a relaxed structure of Lu2CuHg.

Output
Crystal system: trigonal
Magnetic moment, Bohr magnetons per cell: 0.00

a = 9.9660 Å, b = 9.9660 Å, c = 9.9660 Å
α = 20.86°, β = 20.86°, γ = 20.86°
Fractional positions:
Lu: 0.1045 0.1045 0.1045
Lu: 0.8955 0.8955 0.8955
Cu: 0.5000 0.5000 0.5000
Hg: 0.0000 0.0000 0.0000

two) ## Lu2CuHg (GGA-PBE)

Data for a relaxed structure of Lu2CuHg.

Output
Crystal system: cubic
Magnetic moment, Bohr magnetons per cell: 0.00

a = 5.0018 Å, b = 5.0018 Å, c = 5.0018 Å
α = 60.00°, β = 60.00°, γ = 60.00°
Fractional positions:
Lu: 0.2500 0.2500 0.2500
Lu: 0.7500 0.7500 0.7500
Cu: 0.0000 0.0000 0.0000
Hg: 0.5000 0.5000 0.5000

Name the least stable of them. one).

one) ## LuCu2Hg (GGA-PBE)

Data for a relaxed structure of LuCu2Hg.

Output
Crystal system: cubic
Magnetic moment, Bohr magnetons per cell: 0.00

a = 4.6285 Å, b = 4.6285 Å, c = 4.6285 Å
α = 60.00°, β = 60.00°, γ = 60.00°
Fractional positions:
Lu: 0.0000 0.0000 0.0000
Cu: 0.2500 0.2500 0.2500
Cu: 0.7500 0.7500 0.7500
Hg: 0.5000 0.5000 0.5000

two) ## LuCu2Hg (GGA-PBE)

Data for a relaxed structure of LuCu2Hg.

Output
Crystal system: tetragonal
Magnetic moment, Bohr magnetons per cell: 0.00

a = 3.4245 Å, b = 3.4245 Å, c = 6.2420 Å
α = 90.00°, β = 90.00°, γ = 90.00°
Fractional positions:
Lu: 0.0000 0.0000 0.0000
Cu: 0.5000 0.5000 0.2529
Cu: 0.5000 0.5000 0.7471
Hg: 0.0000 0.0000 0.5000

Name the least stable of them. two).

one) ## MgCu3Hg (GGA-PBE)

Data for a relaxed structure of MgCu3Hg.

Output
Crystal system: cubic
Magnetic moment, Bohr magnetons per cell: 0.00

a = 4.8280 Å, b = 4.8280 Å, c = 4.8280 Å
α = 90.00°, β = 90.00°, γ = 90.00°
Fractional positions:
Mg: 0.0000 0.0000 0.0000
Cu: 0.0000 0.5000 0.5000
Cu: 0.5000 0.0000 0.5000
Cu: 0.5000 0.5000 0.0000
Hg: 0.5000 0.5000 0.5000

two) ## MgCu3Hg (GGA-PBE)

Data for a relaxed structure of MgCu3Hg.

Output
Crystal system: cubic
Magnetic moment, Bohr magnetons per cell: 0.00

a = 4.6405 Å, b = 4.6405 Å, c = 4.6405 Å
α = 90.00°, β = 90.00°, γ = 90.00°
Fractional positions:
Mg: 0.0000 0.0000 0.0000
Cu: 0.0000 0.0000 0.5000
Cu: 0.0000 0.5000 0.0000
Cu: 0.5000 0.0000 0.0000
Hg: 0.5000 0.5000 0.5000

Name the least stable of them. two).

one) ## MnCuHg (GGA-PBE)

Data for a relaxed structure of MnCuHg.

Output
Crystal system: trigonal
Magnetic moment, Bohr magnetons per cell: 3.76

a = 3.0244 Å, b = 3.0244 Å, c = 6.3779 Å
α = 90.00°, β = 90.00°, γ = 120.00°
Fractional positions:
Mn: 0.0000 0.0000 0.0000
Cu: 0.3333 0.6667 0.2908
Hg: 0.6667 0.3333 0.6388

two) ## MnCuHg (GGA-PBE)

Data for a relaxed structure of MnCuHg.

Output
Crystal system: tetragonal
Magnetic moment, Bohr magnetons per cell: 4.10

a = 5.1061 Å, b = 5.1061 Å, c = 5.1061 Å
α = 142.69°, β = 142.69°, γ = 53.79°
Fractional positions:
Mn: 0.0000 0.0000 0.0000
Cu: 0.6410 0.6410 0.0000
Hg: 0.3147 0.3147 0.0000

three) ## MnCuHg (GGA-PBE)

Data for a relaxed structure of MnCuHg.

Output
Crystal system: cubic
Magnetic moment, Bohr magnetons per cell: 4.03

a = 4.3409 Å, b = 4.3409 Å, c = 4.3409 Å
α = 60.00°, β = 60.00°, γ = 60.00°
Fractional positions:
Mn: 0.0000 0.0000 0.0000
Cu: 0.7500 0.7500 0.7500
Hg: 0.2500 0.2500 0.2500

Name the least stable of them. three).